# Rb2Ce2TiS6

A relaxed Rb2Ce2TiS6 crystal (PBE, the Alexandria database).

Properties
ΔE_f (raw)	-1.624	eV per atom
magnetization	4.03	Bohr magnetons per cell

Unit cell a=6.923 b=11.809 c=8.180 alpha=90.00 beta=106.55 gamma=90.00
Space group C2/m (No. 12)
One atom of each set of equivalent atoms:
Rb  0.000  0.170  0.000 (multiplicity 4)
Ce  0.000  0.334  0.500 (multiplicity 4)
Ti  0.000  0.000  0.500 (multiplicity 2)
S  0.216  0.153  0.684 (multiplicity 8)
S  0.239  0.000  0.318 (multiplicity 4)